Entry from the Open Quantum Materials Database: an optimized crystal structure of ZnCu2Sn (PBE-GGA).

```
data_ZnCu2Sn
_chemical_formula_sum 'Zn1 Cu2 Sn1'
_symmetry_space_group_name_H-M 'P 1'
_symmetry_Int_Tables_number 1
_cell_length_a 4.4728
_cell_length_b 4.4728
_cell_length_c 4.4728
_cell_angle_alpha 60.00
_cell_angle_beta 60.00
_cell_angle_gamma 60.00
loop_
_symmetry_equiv_pos_as_xyz
'x,y,z'
loop_
_atom_site_label
_atom_site_type_symbol
_atom_site_fract_x
_atom_site_fract_y
_atom_site_fract_z
_atom_site_occupancy
Cu1 Cu 0.5000 0.5000 0.5000 1
Zn1 Zn 0.2500 0.2500 0.2500 1
Sn1 Sn 0.0000 0.0000 0.0000 1
Cu2 Cu 0.7500 0.7500 0.7500 1
```

Output
space-group type = F-43m (216)
VASP energy = -11.96 eV/cell


Entry from the Open Quantum Materials Database: an optimized crystal structure of Zr3Cu2Sn2 (PBE-GGA).

```
data_Zr3Cu2Sn2
_chemical_formula_sum 'Zr3 Cu2 Sn2'
_symmetry_space_group_name_H-M 'P 1'
_symmetry_Int_Tables_number 1
_cell_length_a 8.3145
_cell_length_b 8.3145
_cell_length_c 8.3145
_cell_angle_alpha 33.00
_cell_angle_beta 33.00
_cell_angle_gamma 33.00
loop_
_symmetry_equiv_pos_as_xyz
'x,y,z'
loop_
_atom_site_label
_atom_site_type_symbol
_atom_site_fract_x
_atom_site_fract_y
_atom_site_fract_z
_atom_site_occupancy
Cu1 Cu 0.2452 0.2452 0.2452 1
Cu2 Cu 0.7545 0.7545 0.7545 1
Zr1 Zr 0.6229 0.6229 0.6229 1
Sn1 Sn 0.0053 0.0053 0.0053 1
Sn2 Sn 0.4958 0.4958 0.4958 1
Zr2 Zr 0.3768 0.3768 0.3768 1
Zr3 Zr 0.8746 0.8746 0.8746 1
```

Output
space-group type = R3m (160)
total moment = 0.02 μB per formula unit
VASP energy = -41.68 eV/cell


Entry from the Open Quantum Materials Database: an optimized crystal structure of ZrCu2Sn (PBE-GGA).

```
data_ZrCu2Sn
_chemical_formula_sum 'Zr1 Cu2 Sn1'
_symmetry_space_group_name_H-M 'P 1'
_symmetry_Int_Tables_number 1
_cell_length_a 4.6136
_cell_length_b 4.6136
_cell_length_c 4.6136
_cell_angle_alpha 60.00
_cell_angle_beta 60.00
_cell_angle_gamma 60.00
loop_
_symmetry_equiv_pos_as_xyz
'x,y,z'
loop_
_atom_site_label
_atom_site_type_symbol
_atom_site_fract_x
_atom_site_fract_y
_atom_site_fract_z
_atom_site_occupancy
Sn1 Sn 0.5000 0.5000 0.5000 1
Cu1 Cu 0.0000 0.0000 0.0000 1
Cu2 Cu 0.7500 0.7500 0.7500 1
Zr1 Zr 0.2500 0.2500 0.2500 1
```

Output
space-group type = F-43m (216)
total moment = 0.00 μB per formula unit
VASP energy = -20.12 eV/cell


Entry from the Open Quantum Materials Database: an optimized crystal structure of Zr2CuSn (PBE-GGA).

```
data_Zr2CuSn
_chemical_formula_sum 'Zr2 Cu1 Sn1'
_symmetry_space_group_name_H-M 'P 1'
_symmetry_Int_Tables_number 1
_cell_length_a 4.8805
_cell_length_b 4.8805
_cell_length_c 4.8805
_cell_angle_alpha 60.00
_cell_angle_beta 60.00
_cell_angle_gamma 60.00
loop_
_symmetry_equiv_pos_as_xyz
'x,y,z'
loop_
_atom_site_label
_atom_site_type_symbol
_atom_site_fract_x
_atom_site_fract_y
_atom_site_fract_z
_atom_site_occupancy
Zr1 Zr 0.7500 0.7500 0.7500 1
Zr2 Zr 0.0000 0.0000 0.0000 1
Cu1 Cu 0.2500 0.2500 0.2500 1
Sn1 Sn 0.5000 0.5000 0.5000 1
```

Output
space-group type = F-43m (216)
total moment = 2.27 μB per formula unit
VASP energy = -24.11 eV/cell


Entry from the Open Quantum Materials Database: an optimized crystal structure of Zr3Cu4Sn4 (PBE-GGA).

```
data_Zr3Cu4Sn4
_chemical_formula_sum 'Zr3 Cu4 Sn4'
_symmetry_space_group_name_H-M 'P 1'
_symmetry_Int_Tables_number 1
_cell_length_a 6.1787
_cell_length_b 6.1787
_cell_length_c 7.5651
_cell_angle_alpha 65.90
_cell_angle_beta 65.90
_cell_angle_gamma 90.00
loop_
_symmetry_equiv_pos_as_xyz
'x,y,z'
loop_
_atom_site_label
_atom_site_type_symbol
_atom_site_fract_x
_atom_site_fract_y
_atom_site_fract_z
_atom_site_occupancy
Zr1 Zr 0.2500 0.7500 0.5000 1
Cu1 Cu 0.3726 0.3726 0.7532 1
Sn1 Sn 0.0000 0.5000 0.0000 1
Sn2 Sn 0.7563 0.7563 0.4874 1
Sn3 Sn 0.5000 0.0000 0.0000 1
Zr2 Zr 0.7500 0.2500 0.5000 1
Sn4 Sn 0.2437 0.2437 0.5126 1
Cu2 Cu 0.1258 0.6274 0.2468 1
Cu3 Cu 0.6274 0.1258 0.2468 1
Zr3 Zr 0.5000 0.5000 0.0000 1
Cu4 Cu 0.8742 0.8742 0.7532 1
```

Output
space-group type = I-42m (121)
total moment = 0.00 μB per formula unit
VASP energy = -59.43 eV/cell


Entry from the Open Quantum Materials Database: an optimized crystal structure of Zr3Cu4Sn4 (PBE-GGA).

```
data_Zr3Cu4Sn4
_chemical_formula_sum 'Zr3 Cu4 Sn4'
_symmetry_space_group_name_H-M 'P 1'
_symmetry_Int_Tables_number 1
_cell_length_a 6.4596
_cell_length_b 4.3834
_cell_length_c 7.7195
_cell_angle_alpha 90.00
_cell_angle_beta 90.63
_cell_angle_gamma 90.00
loop_
_symmetry_equiv_pos_as_xyz
'x,y,z'
loop_
_atom_site_label
_atom_site_type_symbol
_atom_site_fract_x
_atom_site_fract_y
_atom_site_fract_z
_atom_site_occupancy
Sn1 Sn 0.7681 0.7500 0.9076 1
Zr1 Zr 0.0000 0.7500 0.2409 1
Zr2 Zr 0.5022 0.2500 0.7283 1
Cu1 Cu 0.2348 0.2500 0.4106 1
Sn2 Sn 0.2420 0.2500 0.0666 1
Zr3 Zr 0.4945 0.7500 0.2643 1
Cu2 Cu 0.6917 0.2500 0.0788 1
Sn3 Sn 0.7706 0.2500 0.4141 1
Sn4 Sn 0.2060 0.7500 0.5928 1
Cu3 Cu 0.3185 0.7500 0.9127 1
Cu4 Cu 0.7694 0.7500 0.5806 1
```

Output
space-group type = Pm (6)
total moment = 0.01 μB per formula unit
VASP energy = -59.34 eV/cell


Question: What is the formula in the fifth record?
Answer: Zr3Cu4Sn4


Question: VASP energy of number 1 (ZnCu2Sn)?
Answer: -11.96 eV/cell